1.
A relaxed structure of OsPb, computed with PBE-GGA.

a b c (Å): 6.825 6.825 6.260
angles (deg): 92.01 92.01 26.17
Fractional positions:
Pb 0.956 0.956 0.491
Os 0.256 0.256 0.500
Pb 0.020 0.020 0.008
Os 0.679 0.679 0.212
Pb 0.295 0.295 0.944
Os 0.627 0.627 0.679

Calculated values
* mass density: 15.40 g/cm³
* space-group type: Cm

=====

2.
A relaxed structure of NaInMo2Se, computed with PBE-GGA.

a b c (Å): 4.991 4.939 4.991
angles (deg): 90.00 90.00 90.00
Fractional positions:
In 0.000 0.500 0.000
Se 0.500 0.500 0.500
Mo 0.500 0.000 0.000
Na 0.000 0.000 0.000
Mo 0.000 0.000 0.500

Calculated values
* mass density: 5.52 g/cm³
* space-group type: P4/mmm
* formation energy (no corrections): 2095 meV per atom

=====

3.
A relaxed structure of Li2TlTe2, computed with PBE-GGA.

a b c (Å): 8.639 8.639 3.411
angles (deg): 90.00 90.00 90.00
Fractional positions:
Te 0.170 0.670 0.500
Li 0.625 0.125 0.000
Li 0.375 0.875 0.000
Te 0.670 0.830 0.500
Te 0.830 0.330 0.500
Te 0.330 0.170 0.500
Tl 0.500 0.500 0.000
Li 0.125 0.375 0.000
Li 0.875 0.625 0.000
Tl 0.000 0.000 0.000

Calculated values
* ΔE to the lowest computed polymorph: 0.89 kcal/mol of atoms
* mass density: 6.18 g/cm³
* space-group type: P4/mbm
* formation energy (no corrections): -605 meV per atom

=====

4.
A relaxed structure of VTcMoW, computed with PBE-GGA.

a b c (Å): 4.393 4.393 4.393
angles (deg): 60.00 60.00 60.00
Fractional positions:
Tc 0.750 0.750 0.750
Mo 0.250 0.250 0.250
W 0.000 0.000 0.000
V 0.500 0.500 0.500

Calculated values
* ΔE to the lowest computed polymorph: 0.00 kcal/mol of atoms
* mass density: 11.88 g/cm³
* space-group type: F-43m

=====

5.
A relaxed structure of Rb4Ce3PuTe8, computed with PBE-GGA.

a b c (Å): 9.361 10.081 9.361
angles (deg): 117.67 120.00 90.00
Fractional positions:
Ce 0.500 0.500 0.500
Te 0.766 0.298 0.032
Te 0.267 0.298 0.032
Ce 0.500 0.500 0.000
Te 0.766 0.298 0.531
Rb 0.000 0.000 0.000
Te 0.234 0.702 0.469
Te 0.234 0.702 0.968
Te 0.733 0.702 0.968
Ce 0.000 0.500 0.500
Te 0.265 0.296 0.531
Rb 0.000 0.000 0.500
Te 0.735 0.704 0.469
Rb 0.500 0.000 0.000
Rb 0.500 0.000 0.500
Pu 0.000 0.500 0.000

Calculated values
* mass density: 5.21 g/cm³
* space-group type: R-3m
* formation energy (no corrections): -1279 meV per atom

=====

6.
A relaxed structure of PaGeMo2, computed with PBE-GGA.

a b c (Å): 4.651 4.651 4.651
angles (deg): 60.00 60.00 60.00
Fractional positions:
Mo 0.750 0.750 0.750
Mo 0.250 0.250 0.250
Pa 0.000 0.000 0.000
Ge 0.500 0.500 0.500

Calculated values
* ΔE to the lowest computed polymorph: 1.62 kcal/mol of atoms
* mass density: 11.57 g/cm³
* space-group type: Fm-3m

=====

7.
A relaxed structure of BaHf2HN, computed with PBE-GGA.

a b c (Å): 4.225 7.086 4.225
angles (deg): 90.00 90.00 90.00
Fractional positions:
Ba 0.000 0.500 0.000
Hf 0.000 0.000 0.500
Hf 0.500 0.000 0.000
N 0.000 0.000 0.000
H 0.500 0.500 0.500

Calculated values
* mass density: 6.68 g/cm³
* space-group type: P4/mmm

=====

8.
A relaxed structure of ScNb3O7, computed with PBE-GGA.

a b c (Å): 5.590 5.590 5.590
angles (deg): 100.04 100.04 100.04
Fractional positions:
Nb 0.078 0.411 0.411
O 0.263 0.683 0.263
O 0.669 0.047 0.669
O 0.114 0.114 0.114
Nb 0.411 0.078 0.411
O 0.669 0.669 0.047
Sc 0.862 0.862 0.862
O 0.683 0.263 0.263
O 0.047 0.669 0.669
O 0.263 0.263 0.683
Nb 0.411 0.411 0.078

Calculated values
* mass density: 4.37 g/cm³
* space-group type: R3m
* formation energy (no corrections): -2362 meV per atom

=====

9.
A relaxed structure of SrTeBr4, computed with PBE-GGA.

a b c (Å): 6.420 6.420 6.420
angles (deg): 60.00 60.00 60.00
Fractional positions:
Te 0.000 0.000 0.000
Br 0.375 0.875 0.375
Br 0.375 0.375 0.875
Br 0.375 0.375 0.375
Sr 0.750 0.750 0.750
Br 0.875 0.375 0.375

Calculated values
* mass density: 4.75 g/cm³
* space-group type: F-43m
* formation energy (no corrections): -237 meV per atom

=====

10.
A relaxed structure of Cr2ReBr, computed with PBE-GGA.

a b c (Å): 3.164 3.164 8.011
angles (deg): 78.63 78.63 59.99
Fractional positions:
Cr 0.008 0.008 0.978
Cr 0.492 0.492 0.522
Br 0.250 0.250 0.250
Re 0.750 0.750 0.750

Calculated values
* ΔE to the lowest computed polymorph: 3.78 kcal/mol of atoms
* mass density: 9.09 g/cm³
* space-group type: R-3m
* formation energy (no corrections): 537 meV per atom

=====

11.
A relaxed structure of Ho2TmTh2, computed with PBE-GGA.

a b c (Å): 8.849 8.849 5.979
angles (deg): 117.36 117.36 97.96
Fractional positions:
Th 0.797 0.203 0.250
Ho 0.387 0.248 0.001
Ho 0.752 0.613 0.499
Tm 0.063 0.937 0.250
Ho 0.613 0.752 0.999
Tm 0.937 0.063 0.750
Th 0.318 0.682 0.250
Ho 0.248 0.387 0.501
Th 0.203 0.797 0.750
Th 0.682 0.318 0.750

Calculated values
* ΔE to the lowest computed polymorph: 0.85 kcal/mol of atoms
* mass density: 9.66 g/cm³
* space-group type: C2/c

=====

12.
A relaxed structure of Rb3Pm3TeO8, computed with PBE-GGA.

a b c (Å): 7.145 7.144 7.833
angles (deg): 117.15 90.00 120.00
Fractional positions:
Rb 0.500 0.500 0.000
Pm 0.500 0.500 0.500
O 0.213 0.957 0.670
Pm 0.000 0.500 0.500
O 0.275 0.550 0.325
O 0.256 0.043 0.330
Rb 0.000 0.000 0.000
Pm 0.500 0.000 0.500
Te 0.000 0.000 0.500
O 0.787 0.043 0.330
O 0.744 0.957 0.670
O 0.787 0.573 0.330
O 0.213 0.427 0.670
Rb 0.000 0.500 0.000
O 0.725 0.450 0.675

Calculated values
* mass density: 5.34 g/cm³
* space-group type: R-3m
* formation energy (no corrections): -2294 meV per atom

=====

13.
A relaxed structure of Al2GaFeIr, computed with PBE-GGA.

a b c (Å): 4.553 4.553 4.482
angles (deg): 90.00 90.00 90.00
Fractional positions:
Al 0.000 0.500 0.000
Ir 0.000 0.000 0.500
Al 0.500 0.000 0.000
Ga 0.000 0.000 0.000
Fe 0.500 0.500 0.500

Calculated values
* mass density: 6.64 g/cm³
* space-group type: P4/mmm

=====

14.
A relaxed structure of DyCuPt2, computed with PBE-GGA.

a b c (Å): 4.382 4.382 5.161
angles (deg): 64.88 64.88 60.00
Fractional positions:
Dy 0.000 0.000 0.000
Pt 0.213 0.213 0.360
Pt 0.787 0.787 0.640
Cu 0.500 0.500 0.500

Calculated values
* mass density: 13.68 g/cm³
* space-group type: R-3m

=====

15.
A relaxed structure of Ca2YSe, computed with PBE-GGA.

a b c (Å): 9.700 9.700 7.446
angles (deg): 49.36 49.36 90.00
Fractional positions:
Se 0.250 0.750 0.500
Y 0.750 0.250 0.500
Ca 0.875 0.775 0.750
Y 0.000 0.000 0.000
Se 0.500 0.500 0.000
Ca 0.375 0.475 0.750
Ca 0.225 0.625 0.250
Ca 0.525 0.125 0.250

Calculated values
* ΔE to the lowest computed polymorph: 6.91 kcal/mol of atoms
* mass density: 3.02 g/cm³
* space-group type: I-42d
* formation energy (no corrections): -546 meV per atom

=====

16.
A relaxed structure of SnAsHOsBr, computed with PBE-GGA.

a b c (Å): 7.861 4.049 7.311
angles (deg): 90.00 92.77 90.00
Fractional positions:
Br 0.104 0.500 0.337
Sn 0.621 0.500 0.936
Sn 0.621 0.000 0.436
Os 0.429 0.000 0.762
H 0.842 0.500 0.958
Br 0.104 0.000 0.837
H 0.842 0.000 0.458
As 0.374 0.500 0.589
Os 0.429 0.500 0.262
As 0.374 0.000 0.089

Calculated values
* ΔE to the lowest computed polymorph: 4.60 kcal/mol of atoms
* mass density: 6.64 g/cm³
* space-group type: Cm

=====

17.
A relaxed structure of Li2ZrGa, computed with PBE-GGA.

a b c (Å): 7.398 7.398 5.914
angles (deg): 51.28 51.28 90.00
Fractional positions:
Ga 0.500 0.500 0.000
Li 0.875 0.836 0.750
Ga 0.250 0.750 0.500
Zr 0.750 0.250 0.500
Li 0.164 0.625 0.250
Li 0.375 0.414 0.750
Zr 0.000 0.000 0.000
Li 0.586 0.125 0.250

Calculated values
* mass density: 3.85 g/cm³
* space-group type: I-42d

=====

18.
A relaxed structure of La6BiPb2Se3, computed with PBE-GGA.

a b c (Å): 4.539 8.995 10.065
angles (deg): 101.94 103.03 90.00
Fractional positions:
La 0.002 0.741 0.004
La 0.330 0.922 0.660
Se 0.500 0.500 0.000
Pb 0.834 0.668 0.667
Se 0.166 0.833 0.331
La 0.664 0.589 0.329
Pb 0.166 0.332 0.333
La 0.670 0.078 0.340
Se 0.834 0.167 0.669
La 0.336 0.411 0.671
Bi 0.500 0.000 0.000
La 0.998 0.259 0.996

Calculated values
* mass density: 7.19 g/cm³
* space-group type: C2/m
* formation energy (no corrections): -1352 meV per atom

=====

19.
A relaxed structure of LaTb6Y3, computed with PBE-GGA.

a b c (Å): 9.894 9.894 6.927
angles (deg): 44.42 44.42 60.00
Fractional positions:
Tb 0.729 0.072 0.796
Y 0.151 0.151 0.547
Tb 0.231 0.902 0.297
La 0.900 0.900 0.300
Tb 0.402 0.729 0.796
Y 0.399 0.399 0.804
Tb 0.570 0.231 0.297
Tb 0.902 0.570 0.297
Y 0.644 0.644 0.069
Tb 0.072 0.402 0.796

Calculated values
* ΔE to the lowest computed polymorph: 3.11 kcal/mol of atoms
* mass density: 6.79 g/cm³
* space-group type: R3

=====

The evaluated total energy for the records listed, in turn: -6.6651, -3.7456, -3.1007, -10.9799, -5.1001, -8.9359, -6.7426, -8.8394, -2.1558, -7.8045, -5.3796, -6.2916, -4.5119, -5.9429, -4.0340, -4.7736, -3.6351, -5.6279, -4.9287 eV per atom.
The evaluated magnetization for the records listed, in turn: 0.0, 6.3, 0.0, 0.0, 2.9, 0.0, 0.0, 2.0, 0.3, 5.2, 0.0, 0.0, 3.0, 0.0, 0.0, 0.0, 1.5, 0.0, 0.0 Bohr magnetons per cell.
The evaluated Fermi-level density of states for the records listed, in turn: 0.895, 0.904, 0.127, 0.537, 2.043, 1.102, 0.794, 0.087, 1.002, 0.649, 1.536, 0.000, 0.899, 0.281, 0.556, 0.362, 0.653, 0.336, 2.190 states/eV per atom.